Record 1
# LiTi (GGA-PBE, optimized geometry)
data_LiTi
_space_group_name_H-M_alt 'F -4 3 m'
_space_group_IT_number 216
_space_group_name_Hall 'F -4 2 3'
_cell_length_a 5.747
_cell_length_b 5.747
_cell_length_c 5.747
_cell_angle_alpha 90.00
_cell_angle_beta 90.00
_cell_angle_gamma 90.00
loop_
_atom_site_label
_atom_site_type_symbol
_atom_site_fract_x
_atom_site_fract_y
_atom_site_fract_z
Li1 Li 0.000 0.000 0.000
Ti1 Ti 0.250 0.250 0.750
# - DOS at the Fermi energy: 7.42 states/eV/cell
# - ΔE_f: 1.77 eV per atom
# - ρ: 1.918 g cm⁻³



Record 2
# LiTi (GGA-PBE, optimized geometry)
data_LiTi
_space_group_name_H-M_alt 'P 63 m c'
_space_group_IT_number 186
_space_group_name_Hall 'P 6c -2c'
_cell_length_a 2.7080
_cell_length_b 2.7080
_cell_length_c 10.8125
_cell_angle_alpha 90.00
_cell_angle_beta 90.00
_cell_angle_gamma 120.00
loop_
_atom_site_label
_atom_site_type_symbol
_atom_site_fract_x
_atom_site_fract_y
_atom_site_fract_z
Li1 Li 0.3333 0.6667 0.0000
Ti1 Ti 0.3333 0.6667 0.2557
# - DOS at the Fermi energy: 4.73 states/eV/cell
# - ΔE_f: 0.33 eV per atom
# - ρ: 2.651 g cm⁻³



The lowest DOS at the Fermi energy belongs to which entry?
number 2



Which value of ΔE_f does entry 2 give?
0.33 eV per atom



What is the formula in the second record?
LiTi